[1]
This record from Alexandria via LeMat-Bulk describes a relaxed Th6Co2PtC3 crystal. The functional is PBE.

a = 3.772 Å, b = 8.112 Å, c = 8.924 Å
α = 108.12°, β = 102.20°, γ = 90.00°
Fractional coordinates of all 12 atoms:
Th1 0.324 0.925 0.648
Th2 0.664 0.594 0.329
Th3 0.676 0.075 0.352
Th4 0.994 0.273 0.989
Th5 0.006 0.727 0.011
Th6 0.336 0.406 0.671
Co1 0.834 0.669 0.667
Co2 0.166 0.331 0.333
Pt1 0.500 0.000 0.000
C1 0.500 0.500 0.000
C2 0.833 0.168 0.667
C3 0.167 0.832 0.333

Values from the calculation:
Its energy of formation from the pure elements is -363 kJ/mol of formula units. As for the uncorrected energy: -96.2 eV/cell.

---

[2]
This record from Alexandria via LeMat-Bulk describes a relaxed Ti2CoPtC crystal. The functional is PBE.

a = 4.161 Å, b = 4.161 Å, c = 3.751 Å
α = 90.00°, β = 90.00°, γ = 90.00°
Fractional coordinates of all 5 atoms:
C1 0.000 0.000 0.000
Co1 0.000 0.000 0.500
Pt1 0.500 0.500 0.500
Ti1 0.000 0.500 0.000
Ti2 0.500 0.000 0.000

Values from the calculation:
Its energy of formation from the pure elements is -288 kJ/mol of formula units. As for the uncorrected energy: -41.1 eV/cell.

---

[3]
This record from Alexandria via LeMat-Bulk describes a relaxed Zr2CoPtC crystal. The functional is PBE.

a = 4.599 Å, b = 4.599 Å, c = 3.669 Å
α = 90.00°, β = 90.00°, γ = 90.00°
Fractional coordinates of all 5 atoms:
C1 0.000 0.000 0.000
Co1 0.000 0.000 0.500
Zr1 0.000 0.500 0.000
Zr2 0.500 0.000 0.000
Pt1 0.500 0.500 0.500

Values from the calculation:
Its energy of formation from the pure elements is -295 kJ/mol of formula units. As for the uncorrected energy: -42.5 eV/cell.

---

[4]
This record from Alexandria via LeMat-Bulk describes a relaxed Pu2Co6C3 crystal. The functional is PBE.

a = 3.691 Å, b = 6.308 Å, c = 6.308 Å
α = 120.00°, β = 90.00°, γ = 90.00°
Fractional coordinates of all 11 atoms:
Pu1 0.000 0.667 0.333
Pu2 0.000 0.333 0.667
Co1 0.500 0.724 0.724
Co2 0.500 0.000 0.276
Co3 0.000 0.218 0.218
Co4 0.000 0.782 0.000
Co5 0.500 0.276 0.000
Co6 0.000 0.000 0.782
C1 0.500 0.361 0.361
C2 0.500 0.639 0.000
C3 0.500 0.000 0.639

Values from the calculation:
Its energy of formation from the pure elements is 153 kJ/mol of formula units. As for the uncorrected energy: -97.4 eV/cell.

---

[5]
This record from Alexandria via LeMat-Bulk describes a relaxed Pu3CoC3 crystal. The functional is PBE.

a = 5.125 Å, b = 6.386 Å, c = 6.389 Å
α = 98.69°, β = 90.00°, γ = 90.00°
Fractional coordinates of all 14 atoms:
Pu1 0.750 0.580 0.825
Pu2 0.750 0.123 0.877
Pu3 0.750 0.176 0.420
Pu4 0.250 0.420 0.175
Pu5 0.250 0.877 0.123
Pu6 0.250 0.824 0.580
Co1 0.250 0.305 0.695
Co2 0.750 0.695 0.305
C1 0.250 0.581 0.842
C2 0.250 0.112 0.888
C3 0.250 0.158 0.419
C4 0.750 0.419 0.158
C5 0.750 0.888 0.112
C6 0.750 0.842 0.581

Values from the calculation:
Its energy of formation from the pure elements is 0 kJ/mol of formula units. As for the uncorrected energy: -155.5 eV/cell.

---

[6]
This record from Alexandria via LeMat-Bulk describes a relaxed PuCo2C2 crystal. The functional is PBE.

a = 5.249 Å, b = 5.249 Å, c = 5.335 Å
α = 108.50°, β = 108.50°, γ = 110.79°
Fractional coordinates of all 10 atoms:
Pu1 0.875 0.625 0.750
Pu2 0.125 0.375 0.250
Co1 0.240 0.990 0.480
Co2 0.490 0.740 0.980
Co3 0.760 0.010 0.520
Co4 0.510 0.260 0.020
C1 0.189 0.311 0.750
C2 0.439 0.061 0.250
C3 0.561 0.939 0.750
C4 0.811 0.689 0.250

Values from the calculation:
Its energy of formation from the pure elements is -5 kJ/mol of formula units. As for the uncorrected energy: -94.1 eV/cell.

---

[7]
This record from Alexandria via LeMat-Bulk describes a relaxed Pu2CoC4 crystal. The functional is PBE.

a = 5.040 Å, b = 6.600 Å, c = 6.600 Å
α = 69.30°, β = 67.55°, γ = 67.55°
Fractional coordinates of all 14 atoms:
C1 0.121 0.222 0.535
C2 0.879 0.778 0.465
C3 0.621 0.535 0.222
C4 0.379 0.465 0.778
C5 0.079 0.089 0.753
C6 0.921 0.911 0.247
C7 0.579 0.753 0.089
C8 0.421 0.247 0.911
Co1 0.250 0.000 0.000
Co2 0.750 0.000 0.000
Pu1 0.353 0.807 0.487
Pu2 0.647 0.193 0.513
Pu3 0.853 0.487 0.807
Pu4 0.147 0.513 0.193

Values from the calculation:
Its energy of formation from the pure elements is -22 kJ/mol of formula units. As for the uncorrected energy: -145.8 eV/cell.

---

[8]
This record from Alexandria via LeMat-Bulk describes a relaxed PuCo3C crystal. The functional is PBE.

a = 5.244 Å, b = 5.242 Å, c = 5.243 Å
α = 120.00°, β = 89.99°, γ = 90.02°
Fractional coordinates of all 10 atoms:
Pu1 0.750 0.667 0.333
Pu2 0.250 0.333 0.667
Co1 0.750 0.679 0.839
Co2 0.250 0.839 0.679
Co3 0.250 0.321 0.161
Co4 0.750 0.161 0.321
Co5 0.250 0.839 0.161
Co6 0.750 0.161 0.839
C1 0.000 0.000 0.000
C2 0.500 0.000 0.000

Values from the calculation:
Its energy of formation from the pure elements is 85 kJ/mol of formula units. As for the uncorrected energy: -88.0 eV/cell.

---

[9]
This record from Alexandria via LeMat-Bulk describes a relaxed RbCoC2 crystal. The functional is PBE.

a = 5.747 Å, b = 5.747 Å, c = 5.754 Å
α = 60.04°, β = 60.04°, γ = 90.00°
Fractional coordinates of all 8 atoms:
C1 0.375 0.125 0.250
C2 0.375 0.625 0.250
C3 0.375 0.625 0.750
C4 0.875 0.625 0.750
Co1 0.500 0.500 0.000
Co2 0.250 0.750 0.500
Rb1 0.000 0.000 0.000
Rb2 0.750 0.250 0.500

Values from the calculation:
The calculation puts the energy above the most stable polymorph in this dataset at 0 meV per atom. Its energy of formation from the pure elements is 304 kJ/mol of formula units. As for the uncorrected energy: -46.7 eV/cell.

---

[10]
This record from Alexandria via LeMat-Bulk describes a relaxed Rb3CoC crystal. The functional is PBE.

a = 5.941 Å, b = 5.941 Å, c = 5.941 Å
α = 90.00°, β = 90.00°, γ = 90.00°
Fractional coordinates of all 5 atoms:
C1 0.000 0.000 0.000
Co1 0.500 0.500 0.500
Rb1 0.000 0.500 0.000
Rb2 0.000 0.000 0.500
Rb3 0.500 0.000 0.000

Values from the calculation:
The calculation puts the energy above the most stable polymorph in this dataset at 0 meV per atom. Its energy of formation from the pure elements is 774 kJ/mol of formula units. As for the uncorrected energy: -11.2 eV/cell.

---

[11]
This record from Alexandria via LeMat-Bulk describes a relaxed RbCoC2 crystal. The functional is PBE.

a = 4.234 Å, b = 4.234 Å, c = 4.234 Å
α = 60.00°, β = 60.00°, γ = 60.00°
Fractional coordinates of all 4 atoms:
C1 0.250 0.250 0.250
C2 0.750 0.750 0.750
Co1 0.000 0.000 0.000
Rb1 0.500 0.500 0.500

Values from the calculation:
The calculation puts the energy above the most stable polymorph in this dataset at 2189 meV per atom. Its energy of formation from the pure elements is 1149 kJ/mol of formula units. As for the uncorrected energy: -14.6 eV/cell.

---

[12]
This record from Alexandria via LeMat-Bulk describes a relaxed RbCoSbC2 crystal. The functional is PBE.

a = 4.146 Å, b = 5.180 Å, c = 4.146 Å
α = 90.00°, β = 90.00°, γ = 90.00°
Fractional coordinates of all 5 atoms:
Sb1 0.000 0.500 0.000
C1 0.000 0.000 0.500
C2 0.500 0.000 0.000
Co1 0.000 0.000 0.000
Rb1 0.500 0.500 0.500

Values from the calculation:
The calculation puts the raw formation energy at 1.88 eV/atom. As for the uncorrected energy: -21.3 eV/cell.